Entry 1:
Material: RbSn2F
Method: DFT, PBE
State: relaxed

Summary:
The value obtained for the uncorrected energy is -11.13 eV per formula unit. The value obtained for the energy relative to the elements, uncorrected is -0.28 eV per formula unit. The calculation puts the distance to the lowest polymorph of the same formula at 559 meV per atom. Its crystal system is cubic.

abc: 5.4599 5.4599 5.4599
angles: 60.00 60.00 60.00
With the nearest neighbours (Å) after each atom.
Atoms (fractional coordinates):
Rb 0.0000 0.0000 0.0000  8 Sn 3.34
Sn 0.2500 0.2500 0.2500  4 F 3.34, 4 Rb 3.34
Sn 0.7500 0.7500 0.7500  4 F 3.34, 4 Rb 3.34
F 0.5000 0.5000 0.5000  8 Sn 3.34


Entry 2:
Material: Tb3YTe3
Method: DFT, PBE
State: relaxed

Summary:
The value obtained for the uncorrected energy is -37.49 eV per formula unit. The value obtained for the energy relative to the elements, uncorrected is -7.71 eV per formula unit. The calculation puts the distance to the lowest polymorph of the same formula at 0 meV per atom. Its crystal system is orthorhombic.

abc: 14.7704 4.2879 12.9037
angles: 90.00 90.00 90.00
With the nearest neighbours (Å) after each atom.
Atoms (fractional coordinates):
Tb 0.0598 0.2500 0.1268  6 Te 3.08-3.18
Tb 0.2016 0.7500 0.7679  5 Te 3.08-3.16
Tb 0.2115 0.7500 0.4767  5 Te 3.07-3.17
Tb 0.2885 0.2500 0.9767  5 Te 3.07-3.17
Tb 0.2984 0.2500 0.2679  5 Te 3.08-3.16
Tb 0.4402 0.7500 0.6268  6 Te 3.08-3.18
Tb 0.5598 0.2500 0.3732  6 Te 3.08-3.18
Tb 0.7016 0.7500 0.7321  5 Te 3.08-3.16
Tb 0.7115 0.7500 0.0233  5 Te 3.07-3.17
Tb 0.7885 0.2500 0.5233  5 Te 3.07-3.17
Tb 0.7984 0.2500 0.2321  5 Te 3.08-3.16
Tb 0.9402 0.7500 0.8732  6 Te 3.08-3.18
Y 0.0541 0.2500 0.6114  4 Te 3.15-3.40
Y 0.4459 0.7500 0.1114  4 Te 3.15-3.40
Y 0.5541 0.2500 0.8886  4 Te 3.15-3.40
Y 0.9459 0.7500 0.3886  4 Te 3.15-3.40
Te 0.0901 0.2500 0.8827  6 Tb 3.08-3.18
Te 0.1007 0.2500 0.3618  4 Tb 3.08-3.16, 3 Y 3.15-3.29
Te 0.2158 0.7500 0.1247  6 Tb 3.07-3.15, 1 Y 3.40
Te 0.2842 0.2500 0.6247  6 Tb 3.07-3.15, 1 Y 3.40
Te 0.3993 0.7500 0.8618  4 Tb 3.08-3.16, 3 Y 3.15-3.29
Te 0.4099 0.7500 0.3827  6 Tb 3.08-3.18
Te 0.5901 0.2500 0.6173  6 Tb 3.08-3.18
Te 0.6007 0.2500 0.1382  4 Tb 3.08-3.16, 3 Y 3.15-3.29
Te 0.7158 0.7500 0.3753  6 Tb 3.07-3.15, 1 Y 3.40
Te 0.7842 0.2500 0.8753  6 Tb 3.07-3.15, 1 Y 3.40
Te 0.8993 0.7500 0.6382  4 Tb 3.08-3.16, 3 Y 3.15-3.29
Te 0.9099 0.7500 0.1173  6 Tb 3.08-3.18


Entry 3:
Material: HoLuScHg
Method: DFT, PBE
State: relaxed

Summary:
The value obtained for the uncorrected energy is -15.99 eV per formula unit. For the formation energy, the calculation gives -0.06 eV/atom. Its crystal system is cubic.

abc: 5.2571 5.2571 5.2571
angles: 60.00 60.00 60.00
With the nearest neighbours (Å) after each atom.
Atoms (fractional coordinates):
Ho 0.0000 0.0000 0.0000  4 Sc 3.22, 4 Hg 3.22
Lu 0.5000 0.5000 0.5000  4 Hg 3.22, 4 Sc 3.22
Sc 0.7500 0.7500 0.7500  4 Lu 3.22, 4 Ho 3.22
Hg 0.2500 0.2500 0.2500  4 Lu 3.22, 4 Ho 3.22


Entry 4:
Material: Nd5ErTm4
Method: DFT, PBE
State: relaxed

Summary:
The value obtained for the uncorrected energy is -46.10 eV per formula unit. For the formation energy, the calculation gives 0.02 eV/atom. The calculation puts the distance to the lowest polymorph of the same formula at 0 meV per atom. Its crystal system is tetragonal.

abc: 3.6104 3.6104 25.0293
angles: 90.00 90.00 90.00
With the nearest neighbours (Å) after each atom.
Atoms (fractional coordinates):
Nd 0.0000 0.0000 0.0000  8 Tm 3.57, 4 Nd 3.61
Nd 0.0000 0.0000 0.1999  8 Tm 3.57, 4 Nd 3.61
Nd 0.0000 0.0000 0.3996  4 Tm 3.57, 4 Er 3.58, 4 Nd 3.61
Nd 0.0000 0.0000 0.6004  4 Tm 3.57, 4 Er 3.58, 4 Nd 3.61
Nd 0.0000 0.0000 0.8001  8 Tm 3.57, 4 Nd 3.61
Er 0.5000 0.5000 0.5000  8 Nd 3.58, 4 Er 3.61
Tm 0.5000 0.5000 0.1000  8 Nd 3.57, 4 Tm 3.61
Tm 0.5000 0.5000 0.2997  8 Nd 3.57, 4 Tm 3.61
Tm 0.5000 0.5000 0.7003  8 Nd 3.57, 4 Tm 3.61
Tm 0.5000 0.5000 0.9000  8 Nd 3.57, 4 Tm 3.61


Entry 5:
Material: SrGe2Au6
Method: DFT, PBE
State: relaxed

Summary:
The value obtained for the uncorrected energy is -32.77 eV per formula unit. For the formation energy, the calculation gives -0.24 eV/atom. The calculation puts the distance to the lowest polymorph of the same formula at 0 meV per atom. Its crystal system is monoclinic.

abc: 6.1363 6.1363 5.4964
angles: 92.91 92.91 70.07
With the nearest neighbours (Å) after each atom.
Atoms (fractional coordinates):
Sr 0.0000 0.0000 0.0000  12 Au 3.34-3.43
Ge 0.3889 0.3889 0.0989  1 Ge 2.54, 4 Au 2.68-2.73
Ge 0.6111 0.6111 0.9011  1 Ge 2.54, 4 Au 2.68-2.73
Au 0.0454 0.4656 0.7460  2 Ge 2.68-2.73, 5 Au 2.76-2.96
Au 0.2813 0.7187 0.5000  2 Ge 2.86, 5 Au 2.87-3.08
Au 0.4656 0.0454 0.7460  2 Ge 2.68-2.73, 5 Au 2.76-2.96
Au 0.5344 0.9546 0.2540  2 Ge 2.68-2.73, 5 Au 2.76-2.96
Au 0.7187 0.2813 0.5000  2 Ge 2.86, 5 Au 2.87-3.08
Au 0.9546 0.5344 0.2540  2 Ge 2.68-2.73, 5 Au 2.76-2.96


Entry 6:
Material: CaB3Pb
Method: DFT, PBE
State: relaxed

Summary:
The value obtained for the uncorrected energy is -16.26 eV per formula unit. For the formation energy, the calculation gives 1.90 eV/atom. The calculation puts the distance to the lowest polymorph of the same formula at 0 meV per atom. Its crystal system is cubic.

abc: 4.7137 4.7137 4.7137
angles: 90.00 90.00 90.00
With the nearest neighbours (Å) after each atom.
Atoms (fractional coordinates):
Ca 0.0000 0.0000 0.0000  12 B 3.33
B 0.0000 0.5000 0.5000  2 Pb 2.36
B 0.5000 0.0000 0.5000  2 Pb 2.36
B 0.5000 0.5000 0.0000  2 Pb 2.36
Pb 0.5000 0.5000 0.5000  6 B 2.36


Entry 7:
Material: CrAgRu2
Method: DFT, PBE
State: relaxed

Summary:
The value obtained for the uncorrected energy is -29.42 eV per formula unit. For the formation energy, the calculation gives 0.40 eV/atom. The calculation puts the distance to the lowest polymorph of the same formula at 176 meV per atom. Its crystal system is tetragonal.

abc: 2.6965 2.6965 7.9320
angles: 90.00 90.00 90.00
With the nearest neighbours (Å) after each atom.
Atoms (fractional coordinates):
Cr 0.0000 0.0000 0.0000  4 Ru 2.58, 4 Cr 2.70, 4 Ag 2.84
Ag 0.5000 0.5000 0.7354  4 Ag 2.70, 4 Cr 2.84, 4 Ru 2.92
Ru 0.0000 0.0000 0.4570  8 Ru 2.68-2.70, 4 Ag 2.92
Ru 0.5000 0.5000 0.2191  4 Cr 2.58, 8 Ru 2.68-2.70


Entry 8:
Material: NaSrSeI
Method: DFT, PBE
State: relaxed

Summary:
The value obtained for the uncorrected energy is -14.21 eV per formula unit. The value obtained for the energy relative to the elements, uncorrected is -6.17 eV per formula unit. Its crystal system is trigonal.

abc: 15.5578 15.5578 15.5578
angles: 17.38 17.38 17.38
With the nearest neighbours (Å) after each atom.
Atoms (fractional coordinates):
Na 0.1879 0.1879 0.1879  4 Se 2.91-3.00
Na 0.8121 0.8121 0.8121  4 Se 2.91-3.00
Sr 0.4181 0.4181 0.4181  3 Se 3.22, 3 I 3.29
Sr 0.5819 0.5819 0.5819  3 Se 3.22, 3 I 3.29
Se 0.1225 0.1225 0.1225  4 Na 2.91-3.00, 3 Sr 3.22
Se 0.8775 0.8775 0.8775  4 Na 2.91-3.00, 3 Sr 3.22
I 0.2891 0.2891 0.2891  3 Sr 3.29
I 0.7109 0.7109 0.7109  3 Sr 3.29


Entry 9:
Material: LiTaRe2
Method: DFT, PBE
State: relaxed

Summary:
The value obtained for the uncorrected energy is -37.68 eV per formula unit. For the formation energy, the calculation gives 0.25 eV/atom. The calculation puts the distance to the lowest polymorph of the same formula at 145 meV per atom. Its crystal system is tetragonal.

abc: 3.1581 3.1581 5.9362
angles: 90.00 90.00 90.00
With the nearest neighbours (Å) after each atom.
Atoms (fractional coordinates):
Li 0.0000 0.0000 0.0000  5 Re 2.58-2.78, 4 Ta 2.68
Ta 0.5000 0.5000 0.7508  4 Li 2.68, 5 Re 2.78-2.79
Re 0.0000 0.0000 0.4690  4 Re 2.68, 1 Li 2.78, 4 Ta 2.79
Re 0.5000 0.5000 0.2187  4 Li 2.58, 4 Re 2.68, 1 Ta 2.78


Entry 10:
Material: NpScSe2
Method: DFT, PBE
State: relaxed

Summary:
The value obtained for the uncorrected energy is -31.42 eV per formula unit. The value obtained for the energy relative to the elements, uncorrected is -5.18 eV per formula unit. The calculation puts the distance to the lowest polymorph of the same formula at 35 meV per atom. Its crystal system is trigonal.

abc: 7.4273 7.4273 7.4273
angles: 29.91 29.91 29.91
With the nearest neighbours (Å) after each atom.
Atoms (fractional coordinates):
Np 0.0000 0.0000 0.0000  6 Se 2.91-2.98
Sc 0.1726 0.1726 0.1726  6 Se 2.69-2.77
Se 0.5782 0.5782 0.5782  3 Sc 2.69, 3 Np 2.91
Se 0.7608 0.7608 0.7608  3 Sc 2.77, 3 Np 2.98


Entry 11:
Material: LaMg2HgPd
Method: DFT, PBE
State: relaxed

Summary:
The value obtained for the uncorrected energy is -15.37 eV per formula unit. For the formation energy, the calculation gives -0.35 eV/atom. Its crystal system is tetragonal.

abc: 5.1073 5.1073 5.4339
angles: 90.00 90.00 90.00
With the nearest neighbours (Å) after each atom.
Atoms (fractional coordinates):
La 0.0000 0.0000 0.0000  2 Pd 2.72
Mg 0.0000 0.5000 0.5000  2 Pd 2.55
Mg 0.5000 0.0000 0.5000  2 Pd 2.55
Hg 0.5000 0.5000 0.0000  4 La 3.61, 8 Mg 3.73
Pd 0.0000 0.0000 0.5000  4 Mg 2.55, 2 La 2.72


Entry 12:
Material: TbPr2I8
Method: DFT, PBE
State: relaxed

Summary:
The value obtained for the uncorrected energy is -39.17 eV per formula unit. The value obtained for the energy relative to the elements, uncorrected is -12.58 eV per formula unit. Its crystal system is monoclinic.

abc: 8.5706 8.5706 6.8417
angles: 100.01 100.01 113.13
With the nearest neighbours (Å) after each atom.
Atoms (fractional coordinates):
Tb 0.0000 0.0000 0.0000  4 I 3.05-3.21
Pr 0.3075 0.6925 0.5000  6 I 3.17-3.48
Pr 0.6925 0.3075 0.5000  6 I 3.17-3.48
I 0.0802 0.3396 0.6071  2 Pr 3.17-3.18
I 0.2133 0.7867 0.0000  1 Tb 3.05
I 0.3396 0.0802 0.6071  2 Pr 3.17-3.18
I 0.3577 0.3577 0.1881  1 Tb 3.21, 2 Pr 3.48
I 0.6423 0.6423 0.8119  1 Tb 3.21, 2 Pr 3.48
I 0.6604 0.9198 0.3929  2 Pr 3.17-3.18
I 0.7867 0.2133 0.0000  1 Tb 3.05
I 0.9198 0.6604 0.3929  2 Pr 3.17-3.18


Q: uncorrected energy of number 12 (TbPr2I8)?
A: -39.17 eV per formula unit